Here is a relaxed MnCuSe2 crystal from the Alexandria database. Energies are from PBE-GGA.

Output
Its size of the total moment is 8.00 μB/cell. For the uncorrected formation energy, the calculation gives -0.275 eV per atom.

Cell: 6.558 6.682 4.027 Å, 93.77 86.76 72.30°
Site moments in Bohr magnetons follow the coordinates.
Positions (direct):
Mn: 0.941 0.714 0.183  3.80
Mn: 0.115 0.244 0.298  3.77
Se: 0.259 0.387 0.797  -0.03
Se: 0.758 0.911 0.719  -0.04
Se: 0.251 0.860 0.240  -0.05
Se: 0.743 0.447 0.247  -0.05
Cu: 0.370 0.990 0.746  -0.02
Cu: 0.664 0.291 0.737  -0.05

Here is a relaxed MnCuSe2 crystal from the Alexandria database. Energies are from PBE-GGA.

Output
Its size of the total moment is 4.14 μB/cell. For the uncorrected formation energy, the calculation gives -0.226 eV per atom.

Cell: 5.300 5.405 5.858 Å, 94.69 91.88 89.01°
Site moments in Bohr magnetons follow the coordinates.
Positions (direct):
Mn: 0.606 0.876 0.361  2.35
Mn: 0.117 0.875 0.358  1.62
Se: 0.356 0.611 0.107  -0.01
Se: 0.851 0.087 0.105  -0.04
Se: 0.364 0.126 0.624  -0.04
Se: 0.878 0.674 0.607  -0.05
Cu: 0.344 0.085 0.032  -0.02
Cu: 0.105 0.371 0.364  0.04

Here is a relaxed Mn2CuSe crystal from the Alexandria database. Energies are from PBE-GGA.

Output
Its size of the total moment is 7.52 μB/cell. For the uncorrected formation energy, the calculation gives 0.167 eV per atom.

Cell: 3.507 4.096 4.096 Å, 90.00 90.00 90.00°
Site moments in Bohr magnetons follow the coordinates.
Positions (direct):
Cu: 0.500 0.000 0.500  0.12
Mn: 0.000 0.000 0.000  3.53
Mn: 0.000 0.500 0.500  3.53
Se: 0.500 0.500 0.000  0.01

Here is a relaxed Mn2CuSe crystal from the Alexandria database. Energies are from PBE-GGA.

Output
Its size of the total moment is 7.08 μB/cell. For the uncorrected formation energy, the calculation gives 0.175 eV per atom.

Cell: 6.290 4.334 3.168 Å, 90.03 59.78 122.78°
Site moments in Bohr magnetons follow the coordinates.
Positions (direct):
Cu: 0.500 0.500 0.000  0.13
Mn: 0.000 0.000 0.000  3.38
Mn: 0.500 0.000 0.500  3.38
Se: 0.000 0.500 0.500  -0.05

Here is a relaxed Mn2CuSe crystal from the Alexandria database. Energies are from PBE-GGA.

Output
Its size of the total moment is 5.35 μB/cell. For the uncorrected formation energy, the calculation gives 0.219 eV per atom.

Cell: 2.968 2.968 8.539 Å, 100.01 99.98 120.00°
Site moments in Bohr magnetons follow the coordinates.
Positions (direct):
Mn: 0.093 0.594 0.382  3.45
Mn: 0.010 0.178 0.634  1.90
Cu: 0.186 0.021 0.141  0.05
Se: 0.876 0.711 0.834  -0.11

Here is a relaxed Mn2CuSe crystal from the Alexandria database. Energies are from PBE-GGA.

Output
Its size of the total moment is 7.41 μB/cell. For the uncorrected formation energy, the calculation gives 0.204 eV per atom.

Cell: 5.068 5.068 5.068 Å, 137.39 137.39 61.84°
Site moments in Bohr magnetons follow the coordinates.
Positions (direct):
Cu: 0.750 0.250 0.500  0.13
Mn: 0.000 0.000 0.000  3.50
Mn: 0.250 0.750 0.500  3.57
Se: 0.500 0.500 0.000  0.01

Here is a relaxed MnCu3Se crystal from the Alexandria database. Energies are from PBE-GGA.

Output
Its size of the total moment is 4.16 μB/cell. For the uncorrected formation energy, the calculation gives 1.058 eV per atom. As for the offset from the most stable computed form: 1.54 eV per formula unit.

Cell: 4.557 4.557 4.557 Å, 90.00 90.00 90.00°
Site moments in Bohr magnetons follow the coordinates.
Positions (direct):
Mn: 0.000 0.000 0.000  3.57
Cu: 0.000 0.500 0.000  0.15
Cu: 0.000 0.000 0.500  0.21
Cu: 0.500 0.000 0.000  0.06
Se: 0.500 0.500 0.500  0.08

Here is a relaxed MnCuSe2 crystal from the Alexandria database. Energies are from PBE-GGA.

Output
Its size of the total moment is 0.01 μB/cell. For the uncorrected formation energy, the calculation gives -0.051 eV per atom.

Cell: 6.669 7.551 6.380 Å, 90.00 90.00 90.00°
Positions (direct):
Mn: 0.065 0.879 0.002
Mn: 0.935 0.121 0.502
Mn: 0.435 0.379 0.502
Mn: 0.565 0.621 0.002
Cu: 0.094 0.392 0.991
Cu: 0.906 0.608 0.491
Cu: 0.406 0.892 0.491
Cu: 0.594 0.108 0.991
Se: 0.391 0.865 0.114
Se: 0.609 0.135 0.614
Se: 0.109 0.365 0.614
Se: 0.891 0.635 0.114
Se: 0.073 0.869 0.642
Se: 0.927 0.131 0.142
Se: 0.427 0.369 0.142
Se: 0.573 0.631 0.642

Here is a relaxed MnCu2Se crystal from the Alexandria database. Energies are from PBE-GGA.

Output
Its size of the total moment is 3.92 μB/cell. For the uncorrected formation energy, the calculation gives 0.326 eV per atom.

Cell: 7.968 7.968 7.968 Å, 21.90 21.90 21.90°
Site moments in Bohr magnetons follow the coordinates.
Positions (direct):
Cu: 0.999 0.999 0.999  0.07
Cu: 0.501 0.501 0.501  0.07
Mn: 0.250 0.250 0.250  3.70
Se: 0.750 0.750 0.750  -0.03

Here is a relaxed MnCuSe2 crystal from the Alexandria database. Energies are from PBE-GGA.

Output
Its size of the total moment is 0.00 μB/cell. For the uncorrected formation energy, the calculation gives -0.061 eV per atom.

Cell: 5.425 5.425 6.667 Å, 66.00 66.00 90.00°
Positions (direct):
Mn: 0.500 0.500 0.000
Mn: 0.250 0.750 0.500
Cu: 0.000 0.000 0.000
Cu: 0.750 0.250 0.500
Se: 0.605 0.125 0.250
Se: 0.145 0.625 0.250
Se: 0.375 0.395 0.750
Se: 0.875 0.855 0.750

Here is a relaxed MnCuSe2 crystal from the Alexandria database. Energies are from PBE-GGA.

Output
Its size of the total moment is 3.28 μB/cell. For the uncorrected formation energy, the calculation gives -0.220 eV per atom.

Cell: 3.810 3.810 6.863 Å, 90.00 90.00 120.00°
Site moments in Bohr magnetons follow the coordinates.
Positions (direct):
Mn: 0.333 0.667 0.220  3.21
Cu: 0.000 0.000 0.998  -0.01
Se: 0.333 0.667 0.863  -0.02
Se: 0.667 0.333 0.374  -0.08

Here is a relaxed Mn2CuSe crystal from the Alexandria database. Energies are from PBE-GGA.

Output
Its size of the total moment is 2.45 μB/cell. For the uncorrected formation energy, the calculation gives 0.186 eV per atom.

Cell: 2.955 2.957 8.108 Å, 89.98 100.52 120.02°
Site moments in Bohr magnetons follow the coordinates.
Positions (direct):
Mn: 0.999 0.580 0.630  -1.26
Mn: 0.505 0.833 0.388  3.44
Cu: 0.009 0.084 0.143  0.09
Se: 0.799 0.980 0.830  0.07

Here is a relaxed MnCu2Se crystal from the Alexandria database. Energies are from PBE-GGA.

Output
Its size of the total moment is 4.20 μB/cell. For the uncorrected formation energy, the calculation gives 0.107 eV per atom.

Cell: 3.413 3.399 6.135 Å, 56.20 90.00 90.00°
Site moments in Bohr magnetons follow the coordinates.
Positions (direct):
Cu: 0.000 0.992 0.009  0.11
Cu: 0.000 0.508 0.491  0.11
Mn: 0.500 0.250 0.250  3.73
Se: 0.500 0.750 0.750  0.05

Here is a relaxed MnCu2Se2 crystal from the Alexandria database. Energies are from PBE-GGA.

Output
Its size of the total moment is 20.06 μB/cell. For the uncorrected formation energy, the calculation gives -0.175 eV per atom.

Cell: 8.080 8.080 8.080 Å, 60.00 60.00 60.00°
Site moments in Bohr magnetons follow the coordinates.
Positions (direct):
Mn: 0.632 0.123 0.123  4.18
Mn: 0.123 0.632 0.123  4.18
Mn: 0.123 0.123 0.123  4.18
Mn: 0.123 0.123 0.632  4.18
Cu: 0.990 0.990 0.510  0.13
Cu: 0.510 0.510 0.990  0.13
Cu: 0.990 0.510 0.510  0.13
Cu: 0.510 0.990 0.990  0.13
Cu: 0.510 0.990 0.510  0.13
Cu: 0.990 0.510 0.990  0.13
Cu: 0.500 0.500 0.500  0.08
Cu: 0.750 0.750 0.750  0.06
Se: 0.873 0.376 0.376  0.12
Se: 0.376 0.873 0.376  0.12
Se: 0.376 0.376 0.376  0.12
Se: 0.376 0.376 0.873  0.12
Se: 0.357 0.881 0.881  0.08
Se: 0.881 0.357 0.881  0.08
Se: 0.881 0.881 0.881  0.08
Se: 0.881 0.881 0.357  0.08

Here is a relaxed MnCuSe crystal from the Alexandria database. Energies are from PBE-GGA.

Output
Its size of the total moment is 4.15 μB/cell. For the uncorrected formation energy, the calculation gives 0.180 eV per atom. As for the offset from the most stable computed form: 0.31 eV per formula unit.

Cell: 4.200 4.200 4.200 Å, 60.00 60.00 60.00°
Site moments in Bohr magnetons follow the coordinates.
Positions (direct):
Cu: 0.000 0.000 0.000  0.10
Mn: 0.500 0.500 0.500  3.75
Se: 0.750 0.750 0.750  0.05

Here is a relaxed MnCu2Se4 crystal from the Alexandria database. Energies are from PBE-GGA.

Output
Its size of the total moment is 4.85 μB/cell. For the uncorrected formation energy, the calculation gives -0.248 eV per atom.

Cell: 7.145 7.401 7.401 Å, 58.60 61.14 61.14°
Site moments in Bohr magnetons follow the coordinates.
Positions (direct):
Mn: 0.000 0.500 0.000  2.85
Mn: 0.500 0.500 0.000  2.85
Cu: 0.112 0.138 0.638  -0.06
Cu: 0.500 0.000 0.000  -0.09
Cu: 0.500 0.500 0.500  -0.09
Cu: 0.888 0.862 0.362  -0.06
Se: 0.249 0.266 0.236  -0.08
Se: 0.249 0.736 0.766  -0.08
Se: 0.250 0.269 0.769  -0.09
Se: 0.712 0.269 0.769  -0.09
Se: 0.288 0.731 0.231  -0.09
Se: 0.751 0.264 0.234  -0.08
Se: 0.750 0.731 0.231  -0.09
Se: 0.751 0.734 0.764  -0.08

Here is a relaxed Mn2CuSe crystal from the Alexandria database. Energies are from PBE-GGA.

Output
Its size of the total moment is 7.40 μB/cell. For the uncorrected formation energy, the calculation gives 0.122 eV per atom.

Cell: 3.358 3.356 5.330 Å, 90.00 90.00 90.00°
Site moments in Bohr magnetons follow the coordinates.
Positions (direct):
Mn: 0.500 0.000 0.357  3.61
Mn: 0.000 0.500 0.637  3.39
Cu: 0.000 0.500 0.150  0.14
Se: 0.500 0.000 0.847  -0.03

Here is a relaxed MnCuSe2 crystal from the Alexandria database. Energies are from PBE-GGA.

Output
Its size of the total moment is 4.00 μB/cell. For the uncorrected formation energy, the calculation gives -0.279 eV per atom.

Cell: 3.801 3.801 6.373 Å, 90.00 90.00 120.00°
Site moments in Bohr magnetons follow the coordinates.
Positions (direct):
Mn: 0.000 0.000 0.997  3.87
Cu: 0.333 0.667 0.423  -0.05
Se: 0.333 0.667 0.790  -0.06
Se: 0.667 0.333 0.245  -0.03

Here is a relaxed MnCuSe2 crystal from the Alexandria database. Energies are from PBE-GGA.

Output
Its size of the total moment is 4.37 μB/cell. For the uncorrected formation energy, the calculation gives -0.245 eV per atom.

Cell: 4.840 4.116 4.122 Å, 74.13 90.00 90.00°
Site moments in Bohr magnetons follow the coordinates.
Positions (direct):
Cu: 0.000 0.499 0.499  0.03
Mn: 0.500 0.754 0.754  3.98
Se: 0.000 0.880 0.880  -0.01
Se: 0.500 0.367 0.366  0.01

Here is a relaxed MnCuSe2 crystal from the Alexandria database. Energies are from PBE-GGA.

Output
Its size of the total moment is 4.63 μB/cell. For the uncorrected formation energy, the calculation gives -0.272 eV per atom.

Cell: 5.293 5.517 7.060 Å, 112.95 111.87 90.00°
Site moments in Bohr magnetons follow the coordinates.
Positions (direct):
Mn: 0.898 0.158 0.320  2.13
Mn: 0.398 0.158 0.320  2.13
Se: 0.523 0.803 0.069  -0.03
Se: 0.023 0.262 0.069  -0.03
Se: 0.772 0.514 0.571  -0.03
Se: 0.272 0.053 0.571  -0.03
Cu: 0.897 0.658 0.319  0.06
Cu: 0.397 0.658 0.319  0.06

no.,theoretical density (g cm⁻³),calculated volume (Å³/atom)
1,5.49,20.897
2,5.49,20.892
3,7.12,14.706
4,7.20,14.545
5,6.86,15.271
6,7.10,14.747
7,5.69,18.931
8,5.72,20.077
9,7.02,15.424
10,5.72,20.060
11,5.32,21.566
12,6.99,14.988
13,7.33,14.783
14,6.05,18.651
15,6.26,17.464
16,5.94,19.875
17,6.98,15.016
18,5.76,19.935
19,5.81,19.745
20,5.29,21.699